# GdHoGeRh

A relaxed GdHoGeRh crystal (PBE-GGA, the Alexandria database).

Results
Formation enthalpy at 0 K (eV per atom): -0.722
Total moment (μB per cell): 27.984
Total energy (eV per atom): -8.38

Cell lengths 7.0233, 7.0233, 7.0233 Å; angles 90.00, 90.00, 90.00 degrees
Closest atoms and distances in Å follow each position.
Space group F-43m (No. 216)
Symmetry-distinct sites (fractional):
Gd: 0.0000 0.0000 0.0000 x4  4 Rh 3.04, 4 Ge 3.04
Ho: 0.0000 0.0000 0.5000 x4  4 Ge 3.04, 4 Rh 3.04
Ge: 0.2500 0.2500 0.7500 x4  4 Gd 3.04, 4 Ho 3.04
Rh: 0.2500 0.2500 0.2500 x4  4 Gd 3.04, 4 Ho 3.04